# 1
Computed, not measured: CsMg6Ga after structural relaxation at the PBE level of DFT.

For the total energy, the calculation gives -0.1073 Ry per atom. The calculation puts the magnetic moment at 0.0 μB per cell. The value obtained for the energy above the most stable polymorph in this dataset is 0.80 eV per formula unit.

The space group is Amm2 (No. 38) and the conventional cell measures 5.0449, 8.1339 and 11.0993 Å, with angles of 90.00, 90.00 and 90.00 degrees. Symmetry generates all atoms from Cs at (0.0000, 0.0000, 0.0000), Mg at (0.0000, 0.0000, 0.5727), Mg at (0.0000, 0.1932, 0.2810), Mg at (0.5000, 0.0000, 0.7368), Mg at (0.5000, 0.1854, 0.4706) and Ga at (0.5000, 0.0000, 0.2374).



# 2
Computed, not measured: Ca3AlZn2 after structural relaxation at the PBE level of DFT.

For the total energy, the calculation gives -0.1676 Ry per atom. The calculation puts the magnetic moment at 0.0 μB per cell. The value obtained for the energy above the most stable polymorph in this dataset is 0.00 eV per formula unit.

The space group is P-3m1 (No. 164) and the conventional cell measures 5.2268, 5.2268 and 12.8426 Å, with angles of 90.00, 90.00 and 120.00 degrees. Symmetry generates all atoms from Ca at (0.0000, 0.0000, 0.2492), Ca at (0.3333, 0.6667, 0.4184), Ca at (0.3333, 0.6667, 0.9186), Al at (0.3333, 0.6667, 0.6703), Zn at (0.0000, 0.0000, 0.0000), Zn at (0.0000, 0.0000, 0.5000) and Zn at (0.3333, 0.6667, 0.1737).



# 3
Computed, not measured: KNa3Zn4H12 after structural relaxation at the PBE level of DFT.

For the total energy, the calculation gives -0.1894 Ry per atom. The calculation puts the magnetic moment at 0.0 μB per cell.

The space group is R32 (No. 155, hexagonal axes) and the conventional cell measures 11.0627, 11.0627 and 8.0553 Å, with angles of 90.00, 90.00 and 120.00 degrees. Symmetry generates all atoms from K at (0.0000, 0.0000, 0.0000), Na at (0.0000, 0.5554, 0.0000), Zn at (0.0000, 0.0000, 0.5000), Zn at (0.0000, 0.4351, 0.5000), H at (0.0000, 0.5808, 0.5000), H at (0.0000, 0.8548, 0.5000) and H at (0.0420, 0.2282, 0.1632).



# 4
Computed, not measured: TaSbTe2P after structural relaxation at the PBE level of DFT.

For the total energy, the calculation gives -0.3503 Ry per atom. The calculation puts the magnetic moment at 2.0 μB per cell. The value obtained for the energy above the most stable polymorph in this dataset is 0.00 eV per formula unit.

The space group is P4/mmm (No. 123) and the conventional cell measures 5.3305, 5.3305 and 5.5032 Å, with angles of 90.00, 90.00 and 90.00 degrees. Symmetry generates all atoms from Ta at (0.0000, 0.0000, 0.0000), Sb at (0.0000, 0.0000, 0.5000), Te at (0.0000, 0.5000, 0.0000) and P at (0.5000, 0.5000, 0.5000).